Ac2PrDyY: relaxed, PBE.

a = 6.491 Å, b = 8.965 Å, c = 6.757 Å
α = 90.00°, β = 90.00°, γ = 90.00°
Fractional positions:
1 Ac 0.250 0.203 0.211
2 Ac 0.250 0.797 0.211
3 Ac 0.750 0.203 0.789
4 Ac 0.750 0.797 0.789
5 Pr 0.250 0.500 0.918
6 Pr 0.750 0.500 0.082
7 Dy 0.000 0.500 0.500
8 Dy 0.500 0.500 0.500
9 Y 0.250 0.000 0.683
10 Y 0.750 0.000 0.317

Output
For the total energy, the calculation gives -45.50 eV for the cell shown. The value obtained for the density of states at the Fermi level is 1.27 states/eV/atom. For the spin magnetization, the calculation gives 0.0 Bohr magnetons per cell. Its space group is Pmma (51).